(1)
The following is a DFT calculation (PBE) of crystalline Ac3AuO at its relaxed geometry.

```
Ac3AuO
1.0
-0.8242 -4.0143 3.2335
2.1147 -5.2153 -5.8553
8.0065 -1.1588 0.7015
Ac Au O
6 2 2
direct
0.9853 0.6290 0.4669 Ac
0.4950 0.3463 0.7852 Ac
0.5006 0.8763 0.7146 Ac
0.9841 0.0281 0.0676 Ac
0.9896 0.5581 0.9970 Ac
0.4994 0.2754 0.3153 Ac
0.4974 0.7208 0.1596 Au
0.9873 0.1835 0.6227 Au
0.7420 0.2856 0.0577 O
0.7426 0.6188 0.7244 O
```

Values from the calculation:
energy relative to the lowest polymorph listed for this composition	0.0	kJ/mol of formula units
raw formation energy	-123	kJ per mole of atoms
symmetry	C2/m (12)
volume	165	Å³/f.u.

---

(2)
The following is a DFT calculation (PBE) of crystalline Ac2GaGe2 at its relaxed geometry.

```
Ac2GaGe2
1.0
-1.6202 0.3778 4.1255
-4.9203 -3.9336 0.8261
4.5278 -8.6469 4.9682
Ac Ge Ga
4 4 2
direct
0.7031 0.2390 0.3548 Ac
0.9063 0.2795 0.9079 Ac
0.0937 0.7205 0.0921 Ac
0.2969 0.7610 0.6452 Ac
0.0548 0.3130 0.5773 Ge
0.9452 0.6869 0.4227 Ge
0.6540 0.8336 0.8584 Ge
0.3460 0.1664 0.1416 Ge
0.4529 0.7948 0.2994 Ga
0.5471 0.2052 0.7006 Ga
```

Values from the calculation:
symmetry	C2/m (12)
formation enthalpy at 0 K	-0.6779	eV/atom
volume	140	Å³/f.u.

---

(3)
The following is a DFT calculation (PBE) of crystalline Tb2NdIn3Te6 at its relaxed geometry.

```
Tb2NdIn3Te6
1.0
7.7226 -0.0010 -0.0001
-3.8603 6.6886 -0.0001
-1.2881 -2.2304 8.1123
In Te Tb Nd
3 6 2 1
direct
0.5000 0.5000 0.5000 In
0.8354 0.1646 0.5000 In
0.1646 0.8354 0.5000 In
0.2665 0.2665 0.7791 Te
0.9255 0.5856 0.7770 Te
0.0745 0.4144 0.2230 Te
0.4144 0.0745 0.2230 Te
0.5856 0.9255 0.7770 Te
0.7335 0.7335 0.2209 Te
0.6670 0.3330 0.0000 Tb
0.3330 0.6670 0.0000 Tb
0.0000 0.0000 0.0000 Nd
```

Values from the calculation:
raw formation energy	-95	kJ per mole of atoms
symmetry	C2/m (12)
volume	419	Å³/f.u.

---

(4)
The following is a DFT calculation (PBE) of crystalline K2RbPa3Te8 at its relaxed geometry.

```
K2RbPa3Te8
1.0
9.1547 0.0000 0.0000
4.5773 7.9282 0.0000
4.5773 2.6427 8.7696
Te Rb K Pa
8 1 2 3
direct
0.7553 0.7553 0.1895 Te
0.2681 0.2681 0.1958 Te
0.7290 0.7290 0.8131 Te
0.3000 0.7553 0.1895 Te
0.2431 0.7036 0.8103 Te
0.7036 0.2431 0.8103 Te
0.2431 0.2431 0.8103 Te
0.7553 0.3000 0.1895 Te
0.8621 0.8621 0.4136 Rb
0.4995 0.4995 0.5015 K
0.1346 0.1346 0.5961 K
0.0011 0.4990 0.0009 Pa
0.4990 0.4990 0.0009 Pa
0.4990 0.0011 0.0009 Pa
```

Values from the calculation:
raw formation energy	-87	kJ per mole of atoms
symmetry	R3m (160)
volume	636	Å³/f.u.

---

(5)
The following is a DFT calculation (PBE) of crystalline Ac6Pm3Er at its relaxed geometry.

```
Ac6Pm3Er
1.0
-1.7990 -3.4032 0.4419
5.7149 -3.1869 -1.2649
6.8820 4.6705 30.1931
Pm Ac Er
6 12 2
direct
0.5000 0.5000 0.0000 Pm
0.2008 0.7338 0.6997 Pm
0.6978 0.8984 0.1980 Pm
0.3022 0.1016 0.8020 Pm
0.0000 0.0000 0.5000 Pm
0.7992 0.2662 0.3003 Pm
0.2951 0.7718 0.2979 Ac
0.0969 0.6968 0.0983 Ac
0.0965 0.3648 0.5968 Ac
0.5943 0.1912 0.0953 Ac
0.9035 0.6352 0.4032 Ac
0.4057 0.8088 0.9047 Ac
0.7998 0.6077 0.8003 Ac
0.4028 0.1364 0.4017 Ac
0.9031 0.3032 0.9017 Ac
0.5972 0.8636 0.5983 Ac
0.2002 0.3923 0.1997 Ac
0.7049 0.2282 0.7021 Ac
0.5000 0.5000 0.5000 Er
0.0000 0.0000 0.0000 Er
```

Values from the calculation:
symmetry	P-1 (2)
formation enthalpy at 0 K	0.0379	eV/atom
volume	400	Å³/f.u.

---

(6)
The following is a DFT calculation (PBE) of crystalline CaTb2PaBi4 at its relaxed geometry.

```
CaTb2PaBi4
1.0
-0.3914 1.8379 -4.0951
-7.7852 -0.2178 0.6463
2.5925 6.8118 2.8093
Tb Bi Ca Pa
2 4 1 1
direct
0.5000 0.0000 0.5000 Tb
0.0000 0.5000 0.5000 Tb
0.0000 0.7564 0.2507 Bi
0.5000 0.2474 0.2503 Bi
0.5000 0.7526 0.7497 Bi
0.0000 0.2436 0.7493 Bi
0.5000 0.5000 0.0000 Ca
0.0000 0.0000 0.0000 Pa
```

Values from the calculation:
symmetry	P2/m (10)
formation enthalpy at 0 K	-0.6629	eV/atom
volume	260	Å³/f.u.

---

| no. | N(E_F) (states/eV/f.u.) |
| --- | --- |
| 1 | 4.96 |
| 2 | 1.86 |
| 3 | 1.31 |
| 4 | 12.56 |
| 5 | 15.36 |
| 6 | 5.57 |